LiTb2Y, optimized geometry, DFT PBE; total energy = -4.219 eV per atom; SG = No. 225; ΔE to the lowest computed polymorph = 121 meV per atom
1.0
0.000 3.892 3.892
3.892 0.000 3.892
3.892 3.892 0.000
Li Tb Y
1 2 1
Cartesian
0.000 0.000 0.000 Li
1.946 1.946 1.946 Tb
5.838 5.838 5.838 Tb
3.892 3.892 3.892 Y



LiTbY2, optimized geometry, DFT PBE; total energy = -4.685 eV per atom; SG = No. 225; ΔE to the lowest computed polymorph = 123 meV per atom
1.0
0.000 3.891 3.891
3.891 0.000 3.891
3.891 3.891 0.000
Li Tb Y
1 1 2
Cartesian
0.000 0.000 0.000 Li
3.891 3.891 3.891 Tb
1.946 1.946 1.946 Y
5.837 5.837 5.837 Y